Material: NaCaAl2
Method: DFT, GGA-PBEsol
State: relaxed

Lattice parameters (Å, degrees): 5.1032 5.1032 5.1032 60.00 60.00 60.00
Positions (direct):
Na: 0.0000 0.0000 0.0000
Ca: 0.5000 0.5000 0.5000
Al: 0.2500 0.2500 0.2500
Al: 0.7500 0.7500 0.7500

Values from the calculation:
Size of the total moment ... 0.000 μB per atom
Crystal system ... cubic
Final energy ... -11.38 eV/cell
Density of states at the Fermi level ... 1.7 states/eV per cell
Mass density ... 2.07 g/cm3
Energy of formation ... 0.083 eV per atom